# 1
DFT (PBE) results for Hf4HgTeC2 after structural relaxation.

The calculation puts the total magnetization at 0.01 μB per formula unit. The value obtained for the volume is 140 Å³ per cell. The calculation puts the total energy at -8.43 eV per atom.

The structure in POSCAR format:
```
Hf4HgTeC2
1.0
3.4050 0.0000 0.0000
-1.7025 2.9488 0.0000
0.0000 0.0000 13.9802
Hf C Hg Te
4 2 1 1
Direct
0.0000 0.0000 0.3442
0.6667 0.3333 0.1725
0.6667 0.3333 0.8275
0.0000 0.0000 0.6558
0.3333 0.6667 0.7426
0.3333 0.6667 0.2574
0.0000 0.0000 0.0000
0.6667 0.3333 0.5000
```

# 2
DFT (PBE) results for Hf4TlHgC2 after structural relaxation.

The calculation puts the total magnetization at 0.00 μB per formula unit. The value obtained for the volume is 142 Å³ per cell. The calculation puts the total energy at -8.24 eV per atom.

The structure in POSCAR format:
```
Hf4TlHgC2
1.0
3.3229 0.0000 0.0000
-1.6615 2.8777 0.0000
0.0000 0.0000 14.8310
Hf Tl Hg C
4 1 1 2
Direct
0.3333 0.6667 0.3307
0.6667 0.3333 0.1655
0.6667 0.3333 0.8345
0.3333 0.6667 0.6693
0.6667 0.3333 0.5000
0.3333 0.6667 0.0000
0.0000 0.0000 0.2490
0.0000 0.0000 0.7510
```

# 3
DFT (PBE) results for TmHf3Hg2C2 after structural relaxation.

The calculation puts the total magnetization at 0.01 μB per formula unit. The value obtained for the volume is 146 Å³ per cell. The calculation puts the total energy at -7.23 eV per atom.

The structure in POSCAR format:
```
TmHf3Hg2C2
1.0
-2.6265 -1.4927 1.4437
3.0191 -1.4429 0.1180
2.9463 7.2122 12.8170
C Hg Hf Tm
2 2 3 1
Direct
0.3333 0.6667 0.4980
0.3333 0.6667 0.0119
0.6667 0.3333 0.7406
0.0000 0.0000 0.2528
0.0000 0.0000 0.5792
0.6667 0.3333 0.4161
0.6667 0.3333 0.0883
0.0000 0.0000 0.9132
```